(1)
Computed, not measured: a geometry-optimized BaCd2P2 structure at the GGA-PBE level of DFT.

Cell and atoms, written as CIF:
```
data_BaCd2P2
_chemical_formula_sum 'Ba2 Cd4 P4'
_cell_length_a 8.2811
_cell_length_b 8.2811
_cell_length_c 3.5487
_cell_angle_alpha 90.00
_cell_angle_beta 90.00
_cell_angle_gamma 90.00
_symmetry_space_group_name_H-M 'P 4/m b m'
_symmetry_Int_Tables_number 127
_symmetry_space_group_name_Hall '-P 4 2ab'
loop_
_atom_site_label
_atom_site_fract_x
_atom_site_fract_y
_atom_site_fract_z
Ba1 0.0000 0.0000 0.0000
Cd1 0.1320 0.3680 0.5000
P1 0.1559 0.6559 0.0000
```

Properties
Raw total energy ... -29.7 eV for the cell shown
Size of the total moment ... 0.0 μB per cell
DOS at the Fermi energy ... 4.08 states/eV/cell

(2)
Computed, not measured: a geometry-optimized Ba6Cd2P structure at the GGA-PBE level of DFT.

Cell and atoms, written as CIF:
```
data_Ba6Cd2P
_chemical_formula_sum 'Ba12 Cd4 P2'
_cell_length_a 8.0934
_cell_length_b 9.1544
_cell_length_c 14.3739
_cell_angle_alpha 90.00
_cell_angle_beta 123.74
_cell_angle_gamma 90.00
_symmetry_space_group_name_H-M 'P 1 21/c 1'
_symmetry_Int_Tables_number 14
_symmetry_space_group_name_Hall '-P 2ybc'
loop_
_atom_site_label
_atom_site_fract_x
_atom_site_fract_y
_atom_site_fract_z
Ba1 0.1200 0.1771 0.4395
Ba2 0.2818 0.6951 0.4431
Ba3 0.3766 0.0339 0.2535
Cd1 0.2071 0.1032 0.7520
P1 0.5000 0.0000 0.5000
```

Properties
Raw total energy ... -44.5 eV for the cell shown
Size of the total moment ... 1.1 μB per cell
DOS at the Fermi energy ... 21.47 states/eV/cell

Number 1 is which compound? BaCd2P2